Material: Sb2Br
Method: DFT, meta-GGA SCAN
State: PBEsol geometry

a = 5.9530 Å, b = 5.9530 Å, c = 8.8863 Å
α = 102.38°, β = 102.38°, γ = 40.12°
Atoms (fractional coordinates):
Sb 0.0000 0.0000 0.0000
Sb 0.2541 0.2541 0.6795
Sb 0.5170 0.5170 0.7768
Sb 0.7365 0.7365 0.4473
Br 0.2379 0.2379 0.1045
Br 0.9661 0.9661 0.4255

Computed properties:
formation energy (no corrections) = -0.16 eV per atom
energy = -188.91 eV/cell
magnetization = 0.00 μB/f.u.

Material: Na5Li3Ti2S8
Method: DFT, meta-GGA SCAN
State: PBEsol geometry

a = 9.9553 Å, b = 9.9553 Å, c = 11.9948 Å
α = 127.00°, β = 127.00°, γ = 57.74°
Atoms (fractional coordinates):
Na 0.0078 0.9922 0.7500
Na 0.0983 0.6055 0.2226
Na 0.3888 0.4138 0.5351
Na 0.3945 0.9017 0.2774
Na 0.4138 0.3888 0.0351
Na 0.5862 0.6112 0.9649
Na 0.6055 0.0983 0.7226
Na 0.6112 0.5862 0.4649
Na 0.9017 0.3945 0.7774
Na 0.9922 0.0078 0.2500
Li 0.0000 0.5000 0.5000
Li 0.1914 0.1925 0.6252
Li 0.1925 0.1914 0.1252
Li 0.5000 0.0000 0.0000
Li 0.8075 0.8086 0.8748
Li 0.8086 0.8075 0.3748
Ti 0.1510 0.6813 0.8646
Ti 0.3187 0.8490 0.6354
Ti 0.6813 0.1510 0.3646
Ti 0.8490 0.3187 0.1354
S 0.1059 0.6674 0.0216
S 0.1172 0.7089 0.5058
S 0.1178 0.2417 0.3080
S 0.2417 0.1178 0.8080
S 0.2911 0.8828 0.9942
S 0.3158 0.4250 0.7484
S 0.3326 0.8941 0.4784
S 0.4250 0.3158 0.2484
S 0.5750 0.6842 0.7516
S 0.6674 0.1059 0.5216
S 0.6842 0.5750 0.2516
S 0.7089 0.1172 0.0058
S 0.7583 0.8822 0.1920
S 0.8822 0.7583 0.6920
S 0.8828 0.2911 0.4942
S 0.8941 0.3326 0.9784

Computed properties:
D(E_F) = 0.00 states/eV/f.u.
formation energy (no corrections) = -1.50 eV per atom
energy = -328.57 eV/cell
magnetization = 0.00 μB/f.u.

Material: Sc2RhAuCl
Method: DFT, meta-GGA SCAN
State: PBEsol geometry

a = 4.8669 Å, b = 4.8669 Å, c = 4.9694 Å
α = 90.00°, β = 90.00°, γ = 90.00°
Atoms (fractional coordinates):
Sc 0.0000 0.5000 0.0000
Sc 0.5000 0.0000 0.0000
Rh 0.0000 0.0000 0.0000
Au 0.0000 0.0000 0.5000
Cl 0.5000 0.5000 0.5000

Computed properties:
D(E_F) = 3.03 states/eV/f.u.
formation energy (no corrections) = -0.41 eV per atom
energy = -141.43 eV/cell
magnetization = 0.00 μB/f.u.

Material: InPbBr2
Method: DFT, meta-GGA SCAN
State: PBEsol geometry

a = 3.7146 Å, b = 3.7146 Å, c = 8.1816 Å
α = 90.00°, β = 90.00°, γ = 90.00°
Atoms (fractional coordinates):
In 0.0000 0.0000 0.0000
Pb 0.5000 0.5000 0.7420
Br 0.0000 0.0000 0.5311
Br 0.5000 0.5000 0.1857

Computed properties:
D(E_F) = 0.84 states/eV/f.u.
formation energy (no corrections) = -0.46 eV per atom
energy = -149.91 eV/cell
magnetization = 0.00 μB/f.u.

Material: CrMo2Os
Method: DFT, meta-GGA SCAN
State: PBEsol geometry

a = 3.0106 Å, b = 3.0106 Å, c = 6.1693 Å
α = 90.00°, β = 90.00°, γ = 90.00°
Atoms (fractional coordinates):
Cr 0.0000 0.0000 0.0000
Mo 0.5000 0.5000 0.2302
Mo 0.5000 0.5000 0.7698
Os 0.0000 0.0000 0.5000

Computed properties:
D(E_F) = 3.93 states/eV/f.u.
energy = -159.58 eV/cell
magnetization = 0.00 μB/f.u.
E_form = 0.458 eV per formula unit

Material: Rh3W
Method: DFT, meta-GGA SCAN
State: PBEsol geometry

a = 2.7319 Å, b = 4.3246 Å, c = 4.7132 Å
α = 90.00°, β = 90.00°, γ = 90.00°
Atoms (fractional coordinates):
Rh 0.0000 0.0000 0.0000
Rh 0.0000 0.5000 0.3335
Rh 0.5000 0.0000 0.4957
W 0.5000 0.5000 0.8229

Computed properties:
D(E_F) = 3.32 states/eV/f.u.
energy = -171.74 eV/cell
magnetization = 0.00 μB/f.u.
E_form = -0.735 eV per formula unit

Material: BaTcMo2
Method: DFT, meta-GGA SCAN
State: PBEsol geometry

a = 4.7488 Å, b = 4.7488 Å, c = 3.1658 Å
α = 90.00°, β = 90.00°, γ = 90.00°
Atoms (fractional coordinates):
Ba 0.0000 0.0000 0.0000
Tc 0.5000 0.5000 0.0000
Mo 0.0000 0.5000 0.5000
Mo 0.5000 0.0000 0.5000

Computed properties:
D(E_F) = 3.36 states/eV/f.u.
energy = -138.32 eV/cell
magnetization = 0.00 μB/f.u.
E_form = 6.057 eV per formula unit

Material: ReGeP2O
Method: DFT, meta-GGA SCAN
State: PBEsol geometry

a = 4.7532 Å, b = 4.7532 Å, c = 3.6830 Å
α = 90.00°, β = 90.00°, γ = 90.00°
Atoms (fractional coordinates):
Re 0.0000 0.0000 0.0000
Ge 0.5000 0.5000 0.5000
P 0.0000 0.5000 0.0000
P 0.5000 0.0000 0.0000
O 0.0000 0.0000 0.5000

Computed properties:
D(E_F) = 2.42 states/eV/f.u.
formation energy (no corrections) = 0.04 eV per atom
energy = -117.03 eV/cell
magnetization = 0.00 μB/f.u.

Material: LiCdRh2
Method: DFT, meta-GGA SCAN
State: PBEsol geometry

a = 2.7170 Å, b = 4.2282 Å, c = 5.1480 Å
α = 90.00°, β = 104.06°, γ = 90.00°
Atoms (fractional coordinates):
Li 0.0000 0.0000 0.0000
Cd 0.5000 0.0000 0.5000
Rh 0.1563 0.5000 0.7758
Rh 0.8437 0.5000 0.2242

Computed properties:
D(E_F) = 2.94 states/eV/f.u.
energy = -100.80 eV/cell
magnetization = 0.26 μB/f.u.
E_form = -0.454 eV per formula unit

Material: LiReHW2
Method: DFT, meta-GGA SCAN
State: PBEsol geometry

a = 4.6478 Å, b = 4.6478 Å, c = 2.8495 Å
α = 90.00°, β = 90.00°, γ = 90.00°
Atoms (fractional coordinates):
Li 0.0000 0.0000 0.0000
Re 0.5000 0.5000 0.5000
H 0.0000 0.0000 0.5000
W 0.0000 0.5000 0.0000
W 0.5000 0.0000 0.0000

Computed properties:
D(E_F) = 3.74 states/eV/f.u.
energy = -210.15 eV/cell
magnetization = 0.00 μB/f.u.

Material: Hg2SeBr
Method: DFT, meta-GGA SCAN
State: PBEsol geometry

a = 7.3397 Å, b = 7.3397 Å, c = 7.3397 Å
α = 149.88°, β = 148.90°, γ = 43.84°
Atoms (fractional coordinates):
Hg 0.0000 0.0000 0.0000
Hg 0.7054 0.2054 0.5000
Se 0.1588 0.6588 0.5000
Br 0.4065 0.4065 0.0000

Computed properties:
D(E_F) = 1.15 states/eV/f.u.
formation energy (no corrections) = -0.05 eV per atom
energy = -176.05 eV/cell
magnetization = 0.00 μB/f.u.

Material: Hf2Pd
Method: DFT, meta-GGA SCAN
State: PBEsol geometry

a = 8.6712 Å, b = 8.6712 Å, c = 8.6712 Å
α = 60.00°, β = 60.00°, γ = 60.00°
Atoms (fractional coordinates):
Hf 0.0000 0.0000 0.0000
Hf 0.0000 0.0000 0.5000
Hf 0.0000 0.5000 0.0000
Hf 0.1886 0.1886 0.5614
Hf 0.1886 0.5614 0.1886
Hf 0.1886 0.5614 0.5614
Hf 0.4386 0.4386 0.8114
Hf 0.4386 0.8114 0.4386
Hf 0.4386 0.8114 0.8114
Hf 0.5000 0.0000 0.0000
Hf 0.5614 0.1886 0.1886
Hf 0.5614 0.1886 0.5614
Hf 0.5614 0.5614 0.1886
Hf 0.8114 0.4386 0.4386
Hf 0.8114 0.4386 0.8114
Hf 0.8114 0.8114 0.4386
Pd 0.1524 0.7825 0.7825
Pd 0.2175 0.2175 0.2175
Pd 0.2175 0.2175 0.8476
Pd 0.2175 0.8476 0.2175
Pd 0.7825 0.1524 0.7825
Pd 0.7825 0.7825 0.1524
Pd 0.7825 0.7825 0.7825
Pd 0.8476 0.2175 0.2175

Computed properties:
D(E_F) = 3.39 states/eV/f.u.
energy = -1277.63 eV/cell
magnetization = 0.00 μB/f.u.
E_form = -1.583 eV per formula unit

Material: MnNi2As
Method: DFT, meta-GGA SCAN
State: PBEsol geometry

a = 3.5567 Å, b = 3.5567 Å, c = 3.6308 Å
α = 90.00°, β = 90.00°, γ = 90.00°
Atoms (fractional coordinates):
Mn 0.0000 0.0000 0.0000
Ni 0.0000 0.5000 0.5000
Ni 0.5000 0.0000 0.5000
As 0.5000 0.5000 0.0000

Computed properties:
D(E_F) = 3.25 states/eV/f.u.
energy = -71.90 eV/cell
magnetization = 4.22 μB/f.u.
E_form = -1.106 eV per formula unit

Material: AgPbF6
Method: DFT, meta-GGA SCAN
State: PBEsol geometry

a = 5.2399 Å, b = 5.3014 Å, c = 5.7760 Å
α = 64.91°, β = 89.32°, γ = 61.70°
Atoms (fractional coordinates):
Ag 0.0000 0.0000 0.0000
Pb 0.5000 0.0000 0.5000
F 0.1044 0.1356 0.2588
F 0.2469 0.1593 0.7537
F 0.4198 0.4583 0.2703
F 0.5802 0.5417 0.7297
F 0.7531 0.8407 0.2463
F 0.8956 0.8644 0.7412

Computed properties:
formation energy (no corrections) = -1.67 eV per atom
energy = -141.73 eV/cell
magnetization = 1.03 μB/f.u.

Material: BaInRh2
Method: DFT, meta-GGA SCAN
State: PBEsol geometry

a = 6.1075 Å, b = 6.1075 Å, c = 6.1075 Å
α = 44.25°, β = 44.25°, γ = 44.25°
Atoms (fractional coordinates):
Ba 0.0000 0.0000 0.0000
In 0.5000 0.5000 0.5000
Rh 0.1807 0.1807 0.1807
Rh 0.8193 0.8193 0.8193

Computed properties:
D(E_F) = 3.12 states/eV/f.u.
energy = -141.92 eV/cell
magnetization = 0.00 μB/f.u.
E_form = -1.445 eV per formula unit

Material: Sr
Method: DFT, meta-GGA SCAN
State: PBEsol geometry

a = 4.0354 Å, b = 4.0354 Å, c = 4.0354 Å
α = 109.47°, β = 109.47°, γ = 109.47°
Atoms (fractional coordinates):
Sr 0.0000 0.0000 0.0000

Computed properties:
D(E_F) = 1.07 states/eV/f.u.
energy = -22.24 eV/cell
magnetization = 0.11 μB/f.u.
E_form = 0.031 eV per formula unit

Material: MgCdAg2
Method: DFT, meta-GGA SCAN
State: PBEsol geometry

a = 4.3176 Å, b = 4.3176 Å, c = 3.8444 Å
α = 90.00°, β = 90.00°, γ = 90.00°
Atoms (fractional coordinates):
Mg 0.0000 0.0000 0.0000
Cd 0.5000 0.5000 0.0000
Ag 0.0000 0.5000 0.5000
Ag 0.5000 0.0000 0.5000

Computed properties:
D(E_F) = 0.87 states/eV/f.u.
energy = -98.79 eV/cell
magnetization = 0.00 μB/f.u.
E_form = -0.667 eV per formula unit

Material: Sr3TiIr
Method: DFT, meta-GGA SCAN
State: PBEsol geometry

a = 5.7090 Å, b = 5.7090 Å, c = 5.7090 Å
α = 90.00°, β = 90.00°, γ = 90.00°
Atoms (fractional coordinates):
Sr 0.0000 0.0000 0.5000
Sr 0.0000 0.5000 0.0000
Sr 0.5000 0.0000 0.0000
Ti 0.5000 0.5000 0.5000
Ir 0.0000 0.0000 0.0000

Computed properties:
D(E_F) = 6.72 states/eV/f.u.
energy = -152.16 eV/cell
magnetization = 3.22 μB/f.u.
E_form = 1.790 eV per formula unit

Material: Hf2SbPd2
Method: DFT, meta-GGA SCAN
State: PBEsol geometry

a = 7.1444 Å, b = 7.1444 Å, c = 3.6525 Å
α = 90.00°, β = 90.00°, γ = 90.00°
Atoms (fractional coordinates):
Hf 0.1664 0.3336 0.0000
Hf 0.3336 0.8336 0.0000
Hf 0.6664 0.1664 0.0000
Hf 0.8336 0.6664 0.0000
Sb 0.0000 0.0000 0.5000
Sb 0.5000 0.5000 0.5000
Pd 0.1304 0.6304 0.5000
Pd 0.3696 0.1304 0.5000
Pd 0.6304 0.8696 0.5000
Pd 0.8696 0.3696 0.5000

Computed properties:
D(E_F) = 1.55 states/eV/f.u.
formation energy (no corrections) = -0.72 eV per atom
energy = -463.50 eV/cell
magnetization = 0.00 μB/f.u.

Material: KLiSe
Method: DFT, meta-GGA SCAN
State: PBEsol geometry

a = 4.3151 Å, b = 4.3151 Å, c = 4.7233 Å
α = 90.00°, β = 90.00°, γ = 120.00°
Atoms (fractional coordinates):
K 0.0000 0.0000 0.0000
Li 0.3333 0.6667 0.5000
Se 0.6667 0.3333 0.5000

Computed properties:
D(E_F) = 0.00 states/eV/f.u.
formation energy (no corrections) = -1.33 eV per atom
energy = -34.78 eV/cell
magnetization = 0.00 μB/f.u.

Number 1: theoretical density 5.44 g cm⁻³. Number 2: theoretical density 2.22 g cm⁻³. Number 3: theoretical density 6.00 g cm⁻³. Number 4: theoretical density 7.09 g cm⁻³. Number 5: theoretical density 12.89 g cm⁻³. Number 6: theoretical density 14.69 g cm⁻³. Number 7: theoretical density 9.94 g cm⁻³. Number 8: theoretical density 6.72 g cm⁻³. Number 9: theoretical density 9.41 g cm⁻³. Number 10: theoretical density 15.16 g cm⁻³. Number 11: theoretical density 9.10 g cm⁻³. Number 12: theoretical density 13.35 g cm⁻³. Number 13: theoretical density 8.94 g cm⁻³. Number 14: theoretical density 5.73 g cm⁻³. Number 15: theoretical density 7.54 g cm⁻³. Number 16: theoretical density 2.88 g cm⁻³. Number 17: theoretical density 8.17 g cm⁻³. Number 18: theoretical density 4.49 g cm⁻³. Number 19: theoretical density 12.32 g cm⁻³. Number 20: theoretical density 2.73 g cm⁻³.